No. 1
# DyAsPd2 | the Alexandria database | PBE | relaxed
# E_form	-0.77	eV/atom
data_DyAsPd2
_chemical_formula_sum 'Dy1 As1 Pd2'
_space_group_name_H-M_alt 'P 4/m m m'
_space_group_IT_number 123
_space_group_name_Hall '-P 4 2'
_cell_length_a 4.182
_cell_length_b 4.182
_cell_length_c 4.216
_cell_angle_alpha 90.00
_cell_angle_beta 90.00
_cell_angle_gamma 90.00
loop_
_atom_site_label
_atom_site_type_symbol
_atom_site_fract_x
_atom_site_fract_y
_atom_site_fract_z
Dy1 Dy 0.000 0.000 0.000
As1 As 0.500 0.500 0.000
Pd1 Pd 0.000 0.500 0.500

No. 2
# DyAsPd4 | the Alexandria database | PBE | relaxed
# E_form	-0.65	eV/atom
data_DyAsPd4
_chemical_formula_sum 'Dy2 As2 Pd8'
_space_group_name_H-M_alt 'P m m a'
_space_group_IT_number 51
_space_group_name_Hall '-P 2a 2a'
_cell_length_a 7.461
_cell_length_b 4.100
_cell_length_c 6.983
_cell_angle_alpha 90.00
_cell_angle_beta 90.00
_cell_angle_gamma 90.00
loop_
_atom_site_label
_atom_site_type_symbol
_atom_site_fract_x
_atom_site_fract_y
_atom_site_fract_z
Dy1 Dy 0.250 0.000 0.143
As1 As 0.250 0.000 0.733
Pd1 Pd 0.000 0.000 0.500
Pd2 Pd 0.054 0.500 0.806
Pd3 Pd 0.250 0.500 0.434

No. 3
# Dy2As6Pd21 | the Alexandria database | PBE | relaxed
# E_form	-0.51	eV/atom
data_Dy2As6Pd21
_chemical_formula_sum 'Dy8 As24 Pd84'
_space_group_name_H-M_alt 'F m -3 m'
_space_group_IT_number 225
_space_group_name_Hall '-F 4 2 3'
_cell_length_a 12.487
_cell_length_b 12.487
_cell_length_c 12.487
_cell_angle_alpha 90.00
_cell_angle_beta 90.00
_cell_angle_gamma 90.00
loop_
_atom_site_label
_atom_site_type_symbol
_atom_site_fract_x
_atom_site_fract_y
_atom_site_fract_z
Dy1 Dy 0.250 0.250 0.250
As1 As 0.000 0.000 0.238
Pd1 Pd 0.000 0.000 0.500
Pd2 Pd 0.000 0.174 0.326
Pd3 Pd 0.117 0.117 0.117

No. 4
# Dy3As4Pd4 | the Alexandria database | PBE | relaxed
# E_form	-1.03	eV/atom
data_Dy3As4Pd4
_chemical_formula_sum 'Dy6 As8 Pd8'
_space_group_name_H-M_alt 'I m m m'
_space_group_IT_number 71
_space_group_name_Hall '-I 2 2'
_cell_length_a 4.195
_cell_length_b 7.128
_cell_length_c 14.016
_cell_angle_alpha 90.00
_cell_angle_beta 90.00
_cell_angle_gamma 90.00
loop_
_atom_site_label
_atom_site_type_symbol
_atom_site_fract_x
_atom_site_fract_y
_atom_site_fract_z
Dy1 Dy 0.000 0.000 0.000
Dy2 Dy 0.000 0.500 0.128
As1 As 0.000 0.000 0.216
As2 As 0.000 0.198 0.500
Pd1 Pd 0.000 0.299 0.328

No. 5
# Dy2AsPd8 | the Alexandria database | PBE | relaxed
# E_form	-0.67	eV/atom
data_Dy2AsPd8
_chemical_formula_sum 'Dy4 As2 Pd16'
_space_group_name_H-M_alt 'I m m m'
_space_group_IT_number 71
_space_group_name_Hall '-I 2 2'
_cell_length_a 4.700
_cell_length_b 5.870
_cell_length_c 14.090
_cell_angle_alpha 90.00
_cell_angle_beta 90.00
_cell_angle_gamma 90.00
loop_
_atom_site_label
_atom_site_type_symbol
_atom_site_fract_x
_atom_site_fract_y
_atom_site_fract_z
Dy1 Dy 0.000 0.000 0.188
As1 As 0.000 0.000 0.500
Pd1 Pd 0.000 0.257 0.000
Pd2 Pd 0.000 0.257 0.368
Pd3 Pd 0.000 0.500 0.186

No. 6
# DyAs3Pd5 | the Alexandria database | PBE | relaxed
# E_form	-0.55	eV/atom
data_DyAs3Pd5
_chemical_formula_sum 'Dy4 As12 Pd20'
_space_group_name_H-M_alt 'C m c m'
_space_group_IT_number 63
_space_group_name_Hall '-C 2c 2'
_cell_length_a 4.168
_cell_length_b 13.803
_cell_length_c 11.414
_cell_angle_alpha 90.00
_cell_angle_beta 90.00
_cell_angle_gamma 90.00
loop_
_atom_site_label
_atom_site_type_symbol
_atom_site_fract_x
_atom_site_fract_y
_atom_site_fract_z
Dy1 Dy 0.000 0.183 0.250
As1 As 0.000 0.133 0.750
As2 As 0.000 0.411 0.593
Pd1 Pd 0.000 0.000 0.000
Pd2 Pd 0.000 0.232 0.571
Pd3 Pd 0.000 0.399 0.126

No. 7
# DyAs2Pd4 | the Alexandria database | PBE | relaxed
# polymorph energy (0 for the lowest one)	0	meV per atom
# E_form	-0.72	eV/atom
data_DyAs2Pd4
_chemical_formula_sum 'Dy2 As4 Pd8'
_space_group_name_H-M_alt 'P 42/m n m'
_space_group_IT_number 136
_space_group_name_Hall '-P 4n 2n'
_cell_length_a 7.742
_cell_length_b 7.742
_cell_length_c 4.079
_cell_angle_alpha 90.00
_cell_angle_beta 90.00
_cell_angle_gamma 90.00
loop_
_atom_site_label
_atom_site_type_symbol
_atom_site_fract_x
_atom_site_fract_y
_atom_site_fract_z
Dy1 Dy 0.000 0.000 0.000
As1 As 0.221 0.221 0.500
Pd1 Pd 0.086 0.663 0.500

No. 8
# Dy2As3Pd5 | the Alexandria database | PBE | relaxed
# E_form	-0.84	eV/atom
data_Dy2As3Pd5
_chemical_formula_sum 'Dy8 As12 Pd20'
_space_group_name_H-M_alt 'C m c 21'
_space_group_IT_number 36
_space_group_name_Hall 'C 2c -2'
_cell_length_a 4.343
_cell_length_b 24.060
_cell_length_c 6.938
_cell_angle_alpha 90.00
_cell_angle_beta 90.00
_cell_angle_gamma 90.00
loop_
_atom_site_label
_atom_site_type_symbol
_atom_site_fract_x
_atom_site_fract_y
_atom_site_fract_z
Dy1 Dy 0.000 0.021 0.000
Dy2 Dy 0.000 0.326 0.969
As1 As 0.000 0.108 0.299
As2 As 0.000 0.275 0.403
As3 As 0.000 0.452 0.201
Pd1 Pd 0.000 0.106 0.679
Pd2 Pd 0.000 0.199 0.113
Pd3 Pd 0.000 0.225 0.713
Pd4 Pd 0.000 0.377 0.466
Pd5 Pd 0.000 0.446 0.808

No. 9
# DyAsPd2 | the Alexandria database | PBE | relaxed
# E_form	-0.91	eV/atom
data_DyAsPd2
_chemical_formula_sum 'Dy4 As4 Pd8'
_space_group_name_H-M_alt 'C m c m'
_space_group_IT_number 63
_space_group_name_Hall '-C 2c 2'
_cell_length_a 4.077
_cell_length_b 10.147
_cell_length_c 7.165
_cell_angle_alpha 90.00
_cell_angle_beta 90.00
_cell_angle_gamma 90.00
loop_
_atom_site_label
_atom_site_type_symbol
_atom_site_fract_x
_atom_site_fract_y
_atom_site_fract_z
Dy1 Dy 0.000 0.055 0.250
As1 As 0.000 0.231 0.750
Pd1 Pd 0.000 0.363 0.054

No. 10
# DyAs2Pd3 | the Alexandria database | PBE | relaxed
# E_form	-0.78	eV/atom
data_DyAs2Pd3
_chemical_formula_sum 'Dy6 As12 Pd18'
_space_group_name_H-M_alt 'C 1 2/m 1'
_space_group_IT_number 12
_space_group_name_Hall '-C 2y'
_cell_length_a 16.750
_cell_length_b 4.071
_cell_length_c 10.041
_cell_angle_alpha 90.00
_cell_angle_beta 107.76
_cell_angle_gamma 90.00
loop_
_atom_site_label
_atom_site_type_symbol
_atom_site_fract_x
_atom_site_fract_y
_atom_site_fract_z
Dy1 Dy 0.000 0.000 0.000
Dy2 Dy 0.151 0.000 0.696
As1 As 0.041 0.500 0.789
As2 As 0.137 0.500 0.454
As3 As 0.199 0.000 0.131
Pd1 Pd 0.000 0.500 0.500
Pd2 Pd 0.041 0.000 0.330
Pd3 Pd 0.118 0.500 0.193
Pd4 Pd 0.181 0.500 0.965
Pd5 Pd 0.222 0.000 0.388

No. 11
# PrDyAs2Pd5 | the Alexandria database | PBE | relaxed
# E_form	-0.78	eV/atom
data_PrDyAs2Pd5
_chemical_formula_sum 'Pr1 Dy1 As2 Pd5'
_space_group_name_H-M_alt 'P 4/m m m'
_space_group_IT_number 123
_space_group_name_Hall '-P 4 2'
_cell_length_a 4.278
_cell_length_b 4.278
_cell_length_c 9.331
_cell_angle_alpha 90.00
_cell_angle_beta 90.00
_cell_angle_gamma 90.00
loop_
_atom_site_label
_atom_site_type_symbol
_atom_site_fract_x
_atom_site_fract_y
_atom_site_fract_z
Pr1 Pr 0.000 0.000 0.000
Dy1 Dy 0.000 0.000 0.500
As1 As 0.500 0.500 0.364
Pd1 Pd 0.000 0.500 0.230
Pd2 Pd 0.500 0.500 0.000

No. 12
# Dy2As3PdRh4 | the Alexandria database | PBE | relaxed
# E_form	-0.81	eV/atom
data_Dy2As3PdRh4
_chemical_formula_sum 'Dy2 As3 Pd1 Rh4'
_space_group_name_H-M_alt 'P -4 m 2'
_space_group_IT_number 115
_space_group_name_Hall 'P -4 -2'
_cell_length_a 4.008
_cell_length_b 4.008
_cell_length_c 11.169
_cell_angle_alpha 90.00
_cell_angle_beta 90.00
_cell_angle_gamma 90.00
loop_
_atom_site_label
_atom_site_type_symbol
_atom_site_fract_x
_atom_site_fract_y
_atom_site_fract_z
Dy1 Dy 0.000 0.500 0.237
As1 As 0.000 0.000 0.000
As2 As 0.000 0.500 0.629
Pd1 Pd 0.500 0.500 0.000
Rh1 Rh 0.000 0.000 0.500
Rh2 Rh 0.000 0.500 0.838
Rh3 Rh 0.500 0.500 0.500

> What is the formula in the first record?

DyAsPd2

> Which value of E_form does entry 3 give?

-0.51 eV/atom

> What is the E_form in the second record?

-0.65 eV/atom

Repeat the fourth record exactly.
# Dy3As4Pd4 | the Alexandria database | PBE | relaxed
# E_form	-1.03	eV/atom
data_Dy3As4Pd4
_chemical_formula_sum 'Dy6 As8 Pd8'
_space_group_name_H-M_alt 'I m m m'
_space_group_IT_number 71
_space_group_name_Hall '-I 2 2'
_cell_length_a 4.195
_cell_length_b 7.128
_cell_length_c 14.016
_cell_angle_alpha 90.00
_cell_angle_beta 90.00
_cell_angle_gamma 90.00
loop_
_atom_site_label
_atom_site_type_symbol
_atom_site_fract_x
_atom_site_fract_y
_atom_site_fract_z
Dy1 Dy 0.000 0.000 0.000
Dy2 Dy 0.000 0.500 0.128
As1 As 0.000 0.000 0.216
As2 As 0.000 0.198 0.500
Pd1 Pd 0.000 0.299 0.328